Density functional theory data (PBE) for a relaxed structure of Ca6CdPb5.

Cell: 5.6226 7.5710 8.9648 Å, 90.00 71.09 90.00°
With the nearest neighbours (Å) after each atom.
Fractional coordinates of all 12 atoms:
Ca (0.5000, 0.2493, 0.0000)  6 Pb 3.31-3.40, 2 Cd 3.39
Ca (0.8332, 0.7551, 0.3348)  7 Pb 3.37-3.46, 1 Cd 3.39, 1 Ca 3.71
Ca (0.1668, 0.2449, 0.6652)  7 Pb 3.37-3.46, 1 Cd 3.39, 1 Ca 3.71
Ca (0.1668, 0.7551, 0.6652)  7 Pb 3.37-3.46, 1 Cd 3.39, 1 Ca 3.71
Ca (0.8332, 0.2449, 0.3348)  7 Pb 3.37-3.46, 1 Cd 3.39, 1 Ca 3.71
Ca (0.5000, 0.7507, 0.0000)  6 Pb 3.31-3.40, 2 Cd 3.39
Pb (0.3359, 0.5000, 0.3320)  8 Ca 3.40-3.42, 2 Pb 3.79
Pb (0.6603, 0.0000, 0.6788)  8 Ca 3.31-3.46
Pb (0.3397, 0.0000, 0.3212)  8 Ca 3.31-3.46
Pb (0.0000, 0.5000, 0.0000)  8 Ca 3.39-3.43, 2 Cd 3.79
Pb (0.6641, 0.5000, 0.6680)  8 Ca 3.40-3.42, 2 Pb 3.79
Cd (0.0000, 0.0000, 0.0000)  8 Ca 3.39, 2 Pb 3.79

Results
ΔE_f ... -0.513 eV per atom
Space-group type ... No. 10
Total DFT energy (no corrections) ... -37.6 eV/f.u.
Density of states at the Fermi level ... 4.66 states/eV/cell